(1)
Density functional theory data (PBE-GGA) for Ac3PuPb4 after structural relaxation.

Cell lengths 3.799, 3.799, 18.643 Å; angles 90.00, 90.00, 90.00 degrees
Fractional positions:
Ac 0.000 0.000 0.000
Ac 0.000 0.000 0.258
Ac 0.000 0.000 0.742
Pu 0.000 0.000 0.500
Pb 0.500 0.500 0.128
Pb 0.500 0.500 0.386
Pb 0.500 0.500 0.614
Pb 0.500 0.500 0.872

E_tot in eV per atom: -5.571
Space-group type: No. 123
Energy relative to the elements in eV per atom: -0.38

***

(2)
Density functional theory data (PBE-GGA) for In2RuRh after structural relaxation.

Cell lengths 9.245, 9.245, 9.245 Å; angles 18.94, 18.94, 18.94 degrees
Fractional positions:
In 0.000 0.000 0.000
In 0.234 0.234 0.234
Ru 0.486 0.486 0.486
Rh 0.747 0.747 0.747

E_tot in eV per atom: -5.284
Space-group type: No. 160
Energy relative to the elements in eV per atom: 0.24

***

(3)
Density functional theory data (PBE-GGA) for Cu2AgPd4 after structural relaxation.

Cell lengths 6.710, 5.337, 6.784 Å; angles 90.00, 117.30, 90.00 degrees
Fractional positions:
Cu 0.021 0.250 0.499
Cu 0.242 0.750 0.949
Cu 0.758 0.250 0.051
Cu 0.979 0.750 0.501
Ag 0.276 0.250 0.927
Ag 0.724 0.750 0.073
Pd 0.147 0.001 0.238
Pd 0.147 0.499 0.238
Pd 0.393 0.750 0.661
Pd 0.450 0.250 0.633
Pd 0.550 0.750 0.367
Pd 0.607 0.250 0.339
Pd 0.853 0.501 0.762
Pd 0.853 0.999 0.762

E_tot in eV per atom: -4.475
Space-group type: No. 11
Energy relative to the elements in eV per atom: 0.07

***

(4)
Density functional theory data (PBE-GGA) for TiCuSbI2 after structural relaxation.

Cell lengths 5.353, 5.353, 5.577 Å; angles 90.00, 90.00, 90.00 degrees
Fractional positions:
Ti 0.000 0.000 0.000
Cu 0.500 0.500 0.500
Sb 0.000 0.000 0.500
I 0.000 0.500 0.000
I 0.500 0.000 0.000

Energy relative to the elements, uncorrected in kJ/mol of formula units: 187
E_tot in eV per atom: -3.455
Space-group type: No. 123